A plane-wave DFT calculation with PBEsol was carried out for CuSb2 after structural relaxation.

E_form (uncorrected)   0.6 eV per formula unit

Cell and atoms, written as CIF:
```
data_CuSb2
_symmetry_space_group_name_H-M 'I 4/m m m'
_symmetry_Int_Tables_number 139
_symmetry_space_group_name_Hall '-I 4 2'
_cell_length_a 3.272
_cell_length_b 3.272
_cell_length_c 12.116
_cell_angle_alpha 90.00
_cell_angle_beta 90.00
_cell_angle_gamma 90.00
loop_
_atom_site_label
_atom_site_fract_x
_atom_site_fract_y
_atom_site_fract_z
Cu1 0.000 0.000 0.000
Sb1 0.000 0.000 0.368
```

A plane-wave DFT calculation with PBEsol was carried out for Cu4Sb after structural relaxation.

E_form (uncorrected)   0.4 eV per formula unit

Cell and atoms, written as CIF:
```
data_Cu4Sb
_symmetry_space_group_name_H-M 'I 4/m'
_symmetry_Int_Tables_number 87
_symmetry_space_group_name_Hall '-I 4'
_cell_length_a 6.001
_cell_length_b 6.001
_cell_length_c 3.745
_cell_angle_alpha 90.00
_cell_angle_beta 90.00
_cell_angle_gamma 90.00
loop_
_atom_site_label
_atom_site_fract_x
_atom_site_fract_y
_atom_site_fract_z
Cu1 0.097 0.313 0.000
Sb1 0.000 0.000 0.500
```

A plane-wave DFT calculation with PBEsol was carried out for Cu2Sb after structural relaxation.

E_form (uncorrected)   0.0 eV per formula unit

Cell and atoms, written as CIF:
```
data_Cu2Sb
_symmetry_space_group_name_H-M 'P 4/n m m'
_symmetry_Int_Tables_number 129
_cell_length_a 3.964
_cell_length_b 3.964
_cell_length_c 6.003
_cell_angle_alpha 90.00
_cell_angle_beta 90.00
_cell_angle_gamma 90.00
loop_
_symmetry_equiv_pos_as_xyz
'x,y,z'
'-x,-y,-z'
'-y+1/2,x,z'
'y+1/2,-x,-z'
'-x+1/2,-y+1/2,z'
'x+1/2,y+1/2,-z'
'y,-x+1/2,z'
'-y,x+1/2,-z'
'x+1/2,-y,-z'
'-x+1/2,y,z'
'-y,-x,-z'
'y,x,z'
'-x,y+1/2,-z'
'x,-y+1/2,z'
'y+1/2,x+1/2,-z'
'-y+1/2,-x+1/2,z'
loop_
_atom_site_label
_atom_site_fract_x
_atom_site_fract_y
_atom_site_fract_z
Cu1 0.250 0.250 0.237
Cu2 0.250 0.750 0.500
Sb1 0.250 0.250 0.803
```

A plane-wave DFT calculation with PBEsol was carried out for CuSb2 after structural relaxation.

E_form (uncorrected)   0.5 eV per formula unit

Cell and atoms, written as CIF:
```
data_CuSb2
_symmetry_space_group_name_H-M 'I 4/m c m'
_symmetry_Int_Tables_number 140
_symmetry_space_group_name_Hall '-I 4 2c'
_cell_length_a 6.644
_cell_length_b 6.644
_cell_length_c 5.666
_cell_angle_alpha 90.00
_cell_angle_beta 90.00
_cell_angle_gamma 90.00
loop_
_atom_site_label
_atom_site_fract_x
_atom_site_fract_y
_atom_site_fract_z
Cu1 0.000 0.000 0.250
Sb1 0.161 0.339 0.000
```

A plane-wave DFT calculation with PBEsol was carried out for ScCuSb3 after structural relaxation.

E_form (uncorrected)   3.1 eV per formula unit

Cell and atoms, written as CIF:
```
data_ScCuSb3
_symmetry_space_group_name_H-M 'P m -3 m'
_symmetry_Int_Tables_number 221
_symmetry_space_group_name_Hall '-P 4 2 3'
_cell_length_a 5.325
_cell_length_b 5.325
_cell_length_c 5.325
_cell_angle_alpha 90.00
_cell_angle_beta 90.00
_cell_angle_gamma 90.00
loop_
_atom_site_label
_atom_site_fract_x
_atom_site_fract_y
_atom_site_fract_z
Sc1 0.000 0.000 0.000
Cu1 0.500 0.500 0.500
Sb1 0.000 0.000 0.500
```

A plane-wave DFT calculation with PBEsol was carried out for ScCu2Sb2 after structural relaxation.

E_form (uncorrected)   -0.4 eV per formula unit

Cell and atoms, written as CIF:
```
data_ScCu2Sb2
_symmetry_space_group_name_H-M 'I 4/m m m'
_symmetry_Int_Tables_number 139
_symmetry_space_group_name_Hall '-I 4 2'
_cell_length_a 4.760
_cell_length_b 4.760
_cell_length_c 8.712
_cell_angle_alpha 90.00
_cell_angle_beta 90.00
_cell_angle_gamma 90.00
loop_
_atom_site_label
_atom_site_fract_x
_atom_site_fract_y
_atom_site_fract_z
Sc1 0.000 0.000 0.000
Cu1 0.000 0.000 0.367
Sb1 0.000 0.500 0.250
```

A plane-wave DFT calculation with PBEsol was carried out for ScCu2Sb after structural relaxation.

E_form (uncorrected)   -0.7 eV per formula unit

Cell and atoms, written as CIF:
```
data_ScCu2Sb
_symmetry_space_group_name_H-M 'P 4/m m m'
_symmetry_Int_Tables_number 123
_symmetry_space_group_name_Hall '-P 4 2'
_cell_length_a 3.461
_cell_length_b 3.461
_cell_length_c 5.679
_cell_angle_alpha 90.00
_cell_angle_beta 90.00
_cell_angle_gamma 90.00
loop_
_atom_site_label
_atom_site_fract_x
_atom_site_fract_y
_atom_site_fract_z
Sc1 0.000 0.000 0.000
Cu1 0.500 0.500 0.235
Sb1 0.000 0.000 0.500
```

A plane-wave DFT calculation with PBEsol was carried out for ScCu2Sb after structural relaxation.

E_form (uncorrected)   -0.7 eV per formula unit

Cell and atoms, written as CIF:
```
data_ScCu2Sb
_symmetry_space_group_name_H-M 'I m m 2'
_symmetry_Int_Tables_number 44
_cell_length_a 3.881
_cell_length_b 3.947
_cell_length_c 8.996
_cell_angle_alpha 90.00
_cell_angle_beta 90.00
_cell_angle_gamma 90.00
loop_
_symmetry_equiv_pos_as_xyz
'x,y,z'
'-x,-y,z'
'-x,y,z'
'x,-y,z'
'x+1/2,y+1/2,z+1/2'
'-x+1/2,-y+1/2,z+1/2'
'-x+1/2,y+1/2,z+1/2'
'x+1/2,-y+1/2,z+1/2'
loop_
_atom_site_label
_atom_site_fract_x
_atom_site_fract_y
_atom_site_fract_z
Sc1 0.000 0.000 0.000
Cu1 0.000 0.000 0.439
Cu2 0.000 0.500 0.761
Sb1 0.000 0.500 0.239
```

A plane-wave DFT calculation with PBEsol was carried out for Sc2CuSb after structural relaxation.

E_form (uncorrected)   -2.4 eV per formula unit

Cell and atoms, written as CIF:
```
data_Sc2CuSb
_symmetry_space_group_name_H-M 'A m m 2'
_symmetry_Int_Tables_number 38
_cell_length_a 3.969
_cell_length_b 3.889
_cell_length_c 10.445
_cell_angle_alpha 90.00
_cell_angle_beta 90.00
_cell_angle_gamma 90.00
loop_
_symmetry_equiv_pos_as_xyz
'x,y,z'
'-x,-y,z'
'-x,y,z'
'x,-y,z'
'x,y+1/2,z+1/2'
'-x,-y+1/2,z+1/2'
'-x,y+1/2,z+1/2'
'x,-y+1/2,z+1/2'
loop_
_atom_site_label
_atom_site_fract_x
_atom_site_fract_y
_atom_site_fract_z
Sc1 0.000 0.000 0.000
Sc2 0.500 0.000 0.296
Cu1 0.000 0.000 0.741
Sb1 0.500 0.000 0.577
```

A plane-wave DFT calculation with PBEsol was carried out for Sc2CuSb after structural relaxation.

E_form (uncorrected)   0.9 eV per formula unit

Cell and atoms, written as CIF:
```
data_Sc2CuSb
_symmetry_space_group_name_H-M 'R -3 m'
_symmetry_Int_Tables_number 166
_symmetry_space_group_name_Hall '-R 3 2"'
_cell_length_a 3.1178
_cell_length_b 3.1178
_cell_length_c 30.5770
_cell_angle_alpha 90.00
_cell_angle_beta 90.00
_cell_angle_gamma 120.00
loop_
_atom_site_label
_atom_site_fract_x
_atom_site_fract_y
_atom_site_fract_z
Sc1 0.0000 0.0000 0.0856
Cu1 0.0000 0.0000 0.0000
Sb1 0.0000 0.0000 0.5000
```

A plane-wave DFT calculation with PBEsol was carried out for ScCu2Sb after structural relaxation.

E_form (uncorrected)   -0.8 eV per formula unit

Cell and atoms, written as CIF:
```
data_ScCu2Sb
_symmetry_space_group_name_H-M 'P m m 2'
_symmetry_Int_Tables_number 25
_cell_length_a 3.180
_cell_length_b 4.224
_cell_length_c 5.264
_cell_angle_alpha 90.00
_cell_angle_beta 90.00
_cell_angle_gamma 90.00
loop_
_symmetry_equiv_pos_as_xyz
'x,y,z'
'-x,-y,z'
'-x,y,z'
'x,-y,z'
loop_
_atom_site_label
_atom_site_fract_x
_atom_site_fract_y
_atom_site_fract_z
Sc1 0.000 0.000 0.000
Cu1 0.500 0.000 0.447
Cu2 0.500 0.500 0.222
Sb1 0.500 0.500 0.728
```

A plane-wave DFT calculation with PBEsol was carried out for Cu2SbSe after structural relaxation.

E_form (uncorrected)   2.0 eV per formula unit

Cell and atoms, written as CIF:
```
data_Cu2SbSe
_symmetry_space_group_name_H-M 'F -4 3 m'
_symmetry_Int_Tables_number 216
_symmetry_space_group_name_Hall 'F -4 2 3'
_cell_length_a 6.561
_cell_length_b 6.561
_cell_length_c 6.561
_cell_angle_alpha 90.00
_cell_angle_beta 90.00
_cell_angle_gamma 90.00
loop_
_atom_site_label
_atom_site_fract_x
_atom_site_fract_y
_atom_site_fract_z
Cu1 0.000 0.000 0.000
Cu2 0.250 0.250 0.250
Sb1 0.250 0.250 0.750
Se1 0.000 0.000 0.500
```

The evaluated theoretical density for the records listed, in turn: 7.9, 9.3, 8.8, 8.2, 5.2, 7.0, 7.2, 7.1, 5.7, 5.3, 6.9, 7.7 g/cm³.
The evaluated DOS at the Fermi energy for the records listed, in turn: 3.368, 2.658, 1.647, 6.873, 2.742, 4.278, 2.079, 4.171, 8.623, 11.826, 1.958, 11.793 states/eV/cell.